Record 1
The following is a DFT calculation (GGA-PBEsol) of an optimized crystal structure of CrPtCl2.

Total magnetic moment: 1.063 μB/atom
DOS at the Fermi energy: 1.10 states/eV/atom
Energy above the lowest structure with this stoichiometry: 0 meV per atom
Formation energy (no corrections): 0.4228 eV/atom
Calculated volume: 16.15 Å³ per atom
Theoretical density: 8175 kg/m3

abc: 3.351 4.391 4.391
angles: 90.00 90.00 90.00
Site moments in Bohr magnetons follow the coordinates.
Sites, in units of the cell vectors:
1 Cl 0.000 0.500 0.000  -0.01
2 Pt 0.500 0.000 0.000  -0.03
3 Cr 0.500 0.500 0.500  3.88
4 Cl 0.000 0.000 0.500  -0.01



Record 2
The following is a DFT calculation (GGA-PBEsol) of an optimized crystal structure of RbCrCl2.

Total magnetic moment: 1.250 μB/atom
DOS at the Fermi energy: 0.79 states/eV/atom
Formation energy (no corrections): -0.6145 eV/atom
Calculated volume: 23.50 Å³ per atom
Theoretical density: 3680 kg/m3

abc: 5.104 5.104 5.104
angles: 60.00 60.00 60.00
Site moments in Bohr magnetons follow the coordinates.
Sites, in units of the cell vectors:
1 Cl 0.750 0.750 0.750  -0.01
2 Cr 0.000 0.000 0.000  4.35
3 Rb 0.500 0.500 0.500  0.02
4 Cl 0.250 0.250 0.250  -0.01



Record 3
The following is a DFT calculation (GGA-PBEsol) of an optimized crystal structure of Rb2CrCl4.

Total magnetic moment: 0.571 μB/atom
DOS at the Fermi energy: 0.15 states/eV/atom
Formation energy (no corrections): -1.5325 eV/atom
Calculated volume: 27.61 Å³ per atom
Theoretical density: 3134 kg/m3

abc: 4.949 4.949 8.633
angles: 106.66 106.66 90.00
Site moments in Bohr magnetons follow the coordinates.
Sites, in units of the cell vectors:
1 Cl 0.153 0.153 0.306  -0.01
2 Cl 0.500 0.000 0.000  0.00
3 Rb 0.640 0.640 0.281  0.00
4 Rb 0.360 0.360 0.719  0.00
5 Cl 0.847 0.847 0.694  -0.01
6 Cl 0.000 0.500 0.000  0.00
7 Cr 0.000 0.000 0.000  3.62



Record 4
The following is a DFT calculation (GGA-PBEsol) of an optimized crystal structure of RbCr3Cl.

Total magnetic moment: 2.832 μB/atom
DOS at the Fermi energy: 0.56 states/eV/atom
Formation energy (no corrections): 1.4036 eV/atom
Calculated volume: 26.65 Å³ per atom
Theoretical density: 3451 kg/m3

abc: 5.108 5.108 5.108
angles: 90.00 90.00 90.00
Site moments in Bohr magnetons follow the coordinates.
Sites, in units of the cell vectors:
1 Rb 0.500 0.500 0.500  0.03
2 Cr 0.500 0.000 0.000  4.05
3 Cl 0.000 0.000 0.000  -0.04
4 Cr 0.000 0.000 0.500  4.05
5 Cr 0.000 0.500 0.000  4.05



Record 5
The following is a DFT calculation (GGA-PBEsol) of an optimized crystal structure of RbCrS2Cl.

Total magnetic moment: 0.722 μB/atom
DOS at the Fermi energy: 1.68 states/eV/atom
Formation energy (no corrections): 1.1122 eV/atom
Calculated volume: 32.10 Å³ per atom
Theoretical density: 2453 kg/m3

abc: 5.627 5.341 5.341
angles: 90.00 90.00 90.00
Site moments in Bohr magnetons follow the coordinates.
Sites, in units of the cell vectors:
1 S 0.000 0.000 0.500  -0.31
2 Rb 0.000 0.000 0.000  0.00
3 S 0.000 0.500 0.000  -0.31
4 Cl 0.500 0.000 0.000  -0.08
5 Cr 0.500 0.500 0.500  4.21



Record 6
The following is a DFT calculation (GGA-PBEsol) of an optimized crystal structure of CrReCl2.

Total magnetic moment: 0.385 μB/atom
DOS at the Fermi energy: 1.11 states/eV/atom
Energy above the lowest structure with this stoichiometry: 0 meV per atom
Formation energy (no corrections): 0.2349 eV/atom
Calculated volume: 17.52 Å³ per atom
Theoretical density: 7326 kg/m3

abc: 2.990 2.990 8.979
angles: 90.00 90.00 119.22
Site moments in Bohr magnetons follow the coordinates.
Sites, in units of the cell vectors:
1 Cl 0.500 0.500 0.684  0.06
2 Re 0.500 0.500 0.280  -0.41
3 Cr 0.000 0.000 0.482  1.81
4 Cl 0.000 0.000 0.054  -0.01



Record 7
The following is a DFT calculation (GGA-PBEsol) of an optimized crystal structure of CrReCl2.

Total magnetic moment: 0.150 μB/atom
DOS at the Fermi energy: 1.00 states/eV/atom
Energy above the lowest structure with this stoichiometry: 708 meV per atom
Formation energy (no corrections): 0.9428 eV/atom
Calculated volume: 16.86 Å³ per atom
Theoretical density: 7610 kg/m3

abc: 2.712 2.712 9.170
angles: 90.00 90.00 90.00
Site moments in Bohr magnetons follow the coordinates.
Sites, in units of the cell vectors:
1 Re 0.500 0.500 0.500  -0.53
2 Cl 0.000 0.000 0.842  -0.03
3 Cr 0.500 0.500 0.000  1.26
4 Cl 0.000 0.000 0.158  -0.03



Record 8
The following is a DFT calculation (GGA-PBEsol) of an optimized crystal structure of Cr3ReCl.

Total magnetic moment: 1.991 μB/atom
DOS at the Fermi energy: 0.59 states/eV/atom
Formation energy (no corrections): 1.4928 eV/atom
Calculated volume: 21.02 Å³ per atom
Theoretical density: 5965 kg/m3

abc: 4.720 4.720 4.720
angles: 90.00 90.00 90.00
Site moments in Bohr magnetons follow the coordinates.
Sites, in units of the cell vectors:
1 Cl 0.500 0.500 0.500  0.14
2 Re 0.000 0.000 0.000  -0.92
3 Cr 0.000 0.000 0.500  3.21
4 Cr 0.500 0.000 0.000  3.21
5 Cr 0.000 0.500 0.000  3.21



Record 9
The following is a DFT calculation (GGA-PBEsol) of an optimized crystal structure of CrRe3Cl.

Total magnetic moment: 0.554 μB/atom
DOS at the Fermi energy: 0.87 states/eV/atom
Formation energy (no corrections): 1.7307 eV/atom
Calculated volume: 15.73 Å³ per atom
Theoretical density: 13643 kg/m3

abc: 4.284 4.284 4.284
angles: 90.00 90.00 90.00
Site moments in Bohr magnetons follow the coordinates.
Sites, in units of the cell vectors:
1 Re 0.000 0.500 0.000  -0.22
2 Re 0.500 0.000 0.000  -0.22
3 Cr 0.500 0.500 0.500  3.11
4 Re 0.000 0.000 0.500  -0.22
5 Cl 0.000 0.000 0.000  0.04



Record 10
The following is a DFT calculation (GGA-PBEsol) of an optimized crystal structure of CrReCl2.

Total magnetic moment: 1.046 μB/atom
DOS at the Fermi energy: 0.73 states/eV/atom
Energy above the lowest structure with this stoichiometry: 409 meV per atom
Formation energy (no corrections): 0.6436 eV/atom
Calculated volume: 15.81 Å³ per atom
Theoretical density: 8117 kg/m3

abc: 2.888 4.023 5.523
angles: 90.00 99.80 90.00
Site moments in Bohr magnetons follow the coordinates.
Sites, in units of the cell vectors:
1 Cr 0.500 0.500 0.500  3.66
2 Re 0.000 0.500 0.000  0.03
3 Cl 0.881 0.000 0.750  0.02
4 Cl 0.119 0.000 0.250  0.02



Record 11
The following is a DFT calculation (GGA-PBEsol) of an optimized crystal structure of CrReS2Cl.

Total magnetic moment: 1.556 μB/atom
DOS at the Fermi energy: 0.70 states/eV/atom
Formation energy (no corrections): 0.9264 eV/atom
Calculated volume: 18.90 Å³ per atom
Theoretical density: 5936 kg/m3

abc: 4.448 4.609 4.609
angles: 90.00 90.00 90.00
Site moments in Bohr magnetons follow the coordinates.
Sites, in units of the cell vectors:
1 Re 0.500 0.500 0.500  3.85
2 Cr 0.000 0.000 0.000  2.81
3 S 0.000 0.000 0.500  -0.05
4 S 0.000 0.500 0.000  -0.05
5 Cl 0.500 0.000 0.000  0.10



Record 12
The following is a DFT calculation (GGA-PBEsol) of an optimized crystal structure of CrReSCl2.

Total magnetic moment: 1.784 μB/atom
DOS at the Fermi energy: 0.33 states/eV/atom
Formation energy (no corrections): 0.8085 eV/atom
Calculated volume: 20.43 Å³ per atom
Theoretical density: 5545 kg/m3

abc: 4.585 4.585 4.860
angles: 90.00 90.00 90.00
Site moments in Bohr magnetons follow the coordinates.
Sites, in units of the cell vectors:
1 Cl 0.000 0.500 0.000  0.08
2 Cl 0.500 0.000 0.000  0.08
3 Re 0.500 0.500 0.500  4.16
4 S 0.000 0.000 0.500  -0.03
5 Cr 0.000 0.000 0.000  3.29



Record 13
The following is a DFT calculation (GGA-PBEsol) of an optimized crystal structure of CrRhCl.

Total magnetic moment: 0.301 μB/atom
DOS at the Fermi energy: 0.96 states/eV/atom
Formation energy (no corrections): 0.5449 eV/atom
Calculated volume: 14.78 Å³ per atom
Theoretical density: 7129 kg/m3

abc: 3.973 3.973 3.973
angles: 60.00 60.00 60.00
Site moments in Bohr magnetons follow the coordinates.
Sites, in units of the cell vectors:
1 Cr 0.250 0.250 0.250  0.78
2 Rh 0.000 0.000 0.000  0.06
3 Cl 0.500 0.500 0.500  0.02



Record 14
The following is a DFT calculation (GGA-PBEsol) of an optimized crystal structure of CrRhSCl2.

Total magnetic moment: 1.011 μB/atom
DOS at the Fermi energy: 1.64 states/eV/atom
Formation energy (no corrections): 0.3708 eV/atom
Calculated volume: 19.06 Å³ per atom
Theoretical density: 4492 kg/m3

abc: 4.530 4.530 4.645
angles: 90.00 90.00 90.00
Site moments in Bohr magnetons follow the coordinates.
Sites, in units of the cell vectors:
1 Cl 0.000 0.500 0.000  0.07
2 Rh 0.500 0.500 0.500  1.60
3 Cr 0.000 0.000 0.000  2.92
4 S 0.000 0.000 0.500  0.00
5 Cl 0.500 0.000 0.000  0.07



Record 15
The following is a DFT calculation (GGA-PBEsol) of an optimized crystal structure of CrRuCl2.

Total magnetic moment: 0.498 μB/atom
DOS at the Fermi energy: 0.71 states/eV/atom
Energy above the lowest structure with this stoichiometry: 431 meV per atom
Formation energy (no corrections): 0.5465 eV/atom
Calculated volume: 14.96 Å³ per atom
Theoretical density: 6215 kg/m3

abc: 4.391 4.391 4.391
angles: 60.00 60.00 60.00
Site moments in Bohr magnetons follow the coordinates.
Sites, in units of the cell vectors:
1 Ru 0.000 0.000 0.000  -1.78
2 Cl 0.250 0.250 0.250  -0.10
3 Cr 0.500 0.500 0.500  3.67
4 Cl 0.750 0.750 0.750  -0.10



Record 16
The following is a DFT calculation (GGA-PBEsol) of an optimized crystal structure of CrRuCl3.

Total magnetic moment: 0.747 μB/atom
DOS at the Fermi energy: 1.28 states/eV/atom
Formation energy (no corrections): 0.2844 eV/atom
Calculated volume: 20.68 Å³ per atom
Theoretical density: 4165 kg/m3

abc: 4.694 4.694 4.694
angles: 90.00 90.00 90.00
Site moments in Bohr magnetons follow the coordinates.
Sites, in units of the cell vectors:
1 Cl 0.000 0.000 0.500  -0.04
2 Cl 0.000 0.500 0.000  -0.04
3 Cr 0.500 0.500 0.500  4.30
4 Cl 0.500 0.000 0.000  -0.04
5 Ru 0.000 0.000 0.000  -0.94



Record 17
The following is a DFT calculation (GGA-PBEsol) of an optimized crystal structure of Cr3RuCl.

Total magnetic moment: 0.001 μB/atom
DOS at the Fermi energy: 1.42 states/eV/atom
Energy above the lowest structure with this stoichiometry: 0 meV per atom
Formation energy (no corrections): 0.9756 eV/atom
Calculated volume: 13.09 Å³ per atom
Theoretical density: 7424 kg/m3

abc: 4.030 4.030 4.030
angles: 90.00 90.00 90.00
Sites, in units of the cell vectors:
1 Cr 0.000 0.000 0.500
2 Cr 0.500 0.000 0.000
3 Ru 0.500 0.500 0.500
4 Cl 0.000 0.000 0.000
5 Cr 0.000 0.500 0.000



Record 18
The following is a DFT calculation (GGA-PBEsol) of an optimized crystal structure of CrRuCl2.

Total magnetic moment: 0.001 μB/atom
DOS at the Fermi energy: 0.46 states/eV/atom
Energy above the lowest structure with this stoichiometry: 0 meV per atom
Formation energy (no corrections): 0.1153 eV/atom
Calculated volume: 18.07 Å³ per atom
Theoretical density: 5145 kg/m3

abc: 2.934 3.097 8.236
angles: 100.84 100.26 90.00
Sites, in units of the cell vectors:
1 Cl 0.729 0.229 0.457
2 Cr 0.425 0.425 0.850
3 Ru 0.330 0.830 0.660
4 Cl 0.017 0.017 0.033



Record 19
The following is a DFT calculation (GGA-PBEsol) of an optimized crystal structure of Cr3RuCl.

Total magnetic moment: 2.102 μB/atom
DOS at the Fermi energy: 0.79 states/eV/atom
Energy above the lowest structure with this stoichiometry: 359 meV per atom
Formation energy (no corrections): 1.3346 eV/atom
Calculated volume: 20.52 Å³ per atom
Theoretical density: 4735 kg/m3

abc: 4.681 4.681 4.681
angles: 90.00 90.00 90.00
Site moments in Bohr magnetons follow the coordinates.
Sites, in units of the cell vectors:
1 Cl 0.500 0.500 0.500  0.12
2 Cr 0.500 0.000 0.000  3.31
3 Ru 0.000 0.000 0.000  -0.64
4 Cr 0.000 0.500 0.000  3.31
5 Cr 0.000 0.000 0.500  3.31



Record 20
The following is a DFT calculation (GGA-PBEsol) of an optimized crystal structure of CrSCl2.

Total magnetic moment: 0.501 μB/atom
DOS at the Fermi energy: 0.56 states/eV/atom
Formation energy (no corrections): -0.3785 eV/atom
Calculated volume: 21.09 Å³ per atom
Theoretical density: 3050 kg/m3

abc: 4.371 6.587 6.587
angles: 83.68 70.62 70.62
Site moments in Bohr magnetons follow the coordinates.
Sites, in units of the cell vectors:
1 S 0.250 0.500 0.500  -0.35
2 Cl 0.375 0.655 0.845  -0.08
3 Cl 0.780 0.845 0.345  -0.08
4 Cl 0.970 0.155 0.655  -0.08
5 Cl 0.875 0.345 0.155  -0.08
6 Cr 0.000 0.000 0.000  2.50
7 S 0.500 0.000 0.000  -0.35
8 Cr 0.750 0.500 0.500  2.50